Here is CsMnSbF6 after structural relaxation from the Alexandria database. Energies are from PBE+U.

Computed properties:
spin magnetization: 4.98 μB/cell
DOS at the Fermi energy: 0.0000 states/eV/atom
DFT total energy: -46.83 eV per formula unit

```
data_CsMnSbF6
_chemical_formula_sum 'Cs1 Mn1 Sb1 F6'
_symmetry_space_group_name_H-M 'P 1'
_symmetry_Int_Tables_number 1
_cell_length_a 5.6988
_cell_length_b 5.8811
_cell_length_c 6.2205
_cell_angle_alpha 90.70
_cell_angle_beta 91.19
_cell_angle_gamma 114.63
loop_
_symmetry_equiv_pos_as_xyz
'x,y,z'
loop_
_atom_site_label
_atom_site_type_symbol
_atom_site_fract_x
_atom_site_fract_y
_atom_site_fract_z
Cs1 Cs 0.0000 0.0000 0.0000
Mn1 Mn 0.3275 0.6891 0.5195
Sb1 Sb 0.6796 0.3359 0.4955
F1 F 0.0184 0.4384 0.7173
F2 F 0.3462 0.3711 0.3499
F3 F 0.4528 0.0433 0.7088
F4 F 0.5601 0.9400 0.3020
F5 F 0.6039 0.5786 0.6991
F6 F 0.9878 0.6849 0.3665
```